Material: La2Pm6PrDy3
Method: DFT, PBE
State: relaxed

Cell lengths 6.325, 6.325, 12.091 Å; angles 95.01, 95.01, 120.04 degrees
Fractional positions:
1 La 0.333 0.667 0.000
2 La 0.667 0.333 0.000
3 Pm 0.914 0.581 0.744
4 Pm 0.752 0.752 0.256
5 Pm 0.086 0.419 0.256
6 Pm 0.581 0.914 0.744
7 Pm 0.248 0.248 0.744
8 Pm 0.419 0.086 0.256
9 Pr 0.000 0.000 0.000
10 Dy 0.167 0.833 0.500
11 Dy 0.833 0.167 0.500
12 Dy 0.500 0.500 0.500

Computed properties:
Mass density = 7.15 g/cm³
Symmetry = No. 12
DFT formation energy = 19 meV/atom

---

Material: Mn2RhPb
Method: DFT, PBE
State: relaxed

Cell lengths 3.175, 3.165, 7.943 Å; angles 66.52, 90.00, 90.00 degrees
Fractional positions:
1 Mn 0.000 0.049 0.951
2 Mn 0.000 0.451 0.549
3 Pb 0.500 0.250 0.250
4 Rh 0.500 0.750 0.750

Computed properties:
Mass density = 9.53 g/cm³
Symmetry = No. 47
DFT formation energy = 177 meV/atom

---

Material: CeDyCO
Method: DFT, PBE
State: relaxed

Cell lengths 3.570, 3.570, 6.146 Å; angles 73.12, 73.12, 60.00 degrees
Fractional positions:
1 Ce 0.947 0.947 0.158
2 Dy 0.445 0.445 0.666
3 C 0.694 0.694 0.919
4 O 0.191 0.191 0.428

Computed properties:
Mass density = 8.59 g/cm³
Electronic total energy = -7.824 eV per atom
Symmetry = No. 160